{
  "formula": "AcLaTb",
  "functional": "GGA-PBE",
  "state": "optimized geometry",
  "lattice": [[3.785, 0.000, 0.000], [-1.893, 3.278, 0.000], [0.000, 0.000, 9.184]],
  "species": ["Ac", "La", "Tb"],
  "fractional_positions": [[0.000, 0.000, 0.000], [0.333, 0.667, 0.649], [0.667, 0.333, 0.331]],
  "formation_energy_ev_per_fu": 0.145,
  "magnetic_moment_mub_per_atom": 0.000,
  "space_group": "P3m1, No. 156",
  "energy_ev_per_cell": -13.52
}